The following is a PBE calculation of a relaxed structure of BiIr, from Alexandria.

The formation energy is 0.86 eV per formula unit. For the total magnetization, the calculation gives 0.00 μB per cell. As for the total DFT energy (no corrections): -190.11 eV/cell.

It has space group Fddd (No. 70, origin choice 2), with a = 7.791 Å, b = 8.405 Å, c = 12.806 Å, α = 90.00°, β = 90.00° and γ = 90.00°. The inequivalent atoms are Bi at (0.125, 0.343, 0.125) and Ir at (0.125, 0.125, 0.517).

=====

The following is a PBE calculation of a relaxed structure of MgCuPb2, from Alexandria.

The formation energy is 0.63 eV per formula unit. For the total magnetization, the calculation gives 0.00 μB per cell. As for the total DFT energy (no corrections): -24.96 eV/cell.

It has space group I4/mmm (No. 139), with a = 4.810 Å, b = 4.810 Å, c = 8.194 Å, α = 90.00°, β = 90.00° and γ = 90.00°. The inequivalent atoms are Mg at (0.000, 0.000, 0.000), Cu at (0.000, 0.000, 0.500) and Pb at (0.000, 0.500, 0.250).

=====

The following is a PBE calculation of a relaxed structure of MgTl2Fe, from Alexandria.

The formation energy is 2.19 eV per formula unit. For the total magnetization, the calculation gives 11.58 μB per cell. As for the total DFT energy (no corrections): -50.42 eV/cell.

It has space group F-43m (No. 216), with a = 7.158 Å, b = 7.158 Å, c = 7.158 Å, α = 90.00°, β = 90.00° and γ = 90.00°. The inequivalent atoms are Mg at (0.000, 0.000, 0.000), Tl at (0.000, 0.000, 0.500), Tl at (0.250, 0.250, 0.250) and Fe at (0.250, 0.250, 0.750).

=====

The following is a PBE calculation of a relaxed structure of B2SbOs, from Alexandria.

For the total magnetization, the calculation gives 0.00 μB per cell. As for the uncorrected formation energy: 621 meV per atom. As for the total DFT energy (no corrections): -104.89 eV/cell.

It has space group I-42d (No. 122), with a = 5.087 Å, b = 5.087 Å, c = 9.986 Å, α = 90.00°, β = 90.00° and γ = 90.00°. The inequivalent atoms are B at (0.195, 0.250, 0.125), Sb at (0.000, 0.000, 0.500) and Os at (0.000, 0.000, 0.000).

=====

The following is a PBE calculation of a relaxed structure of Sr2Co2P, from Alexandria.

The formation energy is 2.67 eV per formula unit. For the total magnetization, the calculation gives 6.35 μB per cell. As for the total DFT energy (no corrections): -40.63 eV/cell.

It has space group P4/mbm (No. 127), with a = 8.240 Å, b = 8.240 Å, c = 4.086 Å, α = 90.00°, β = 90.00° and γ = 90.00°. The inequivalent atoms are Sr at (0.182, 0.318, 0.000), Co at (0.090, 0.590, 0.500) and P at (0.000, 0.000, 0.000).

=====

The following is a PBE calculation of a relaxed structure of SrPrPt2, from Alexandria.

The formation energy is -3.80 eV per formula unit. For the total magnetization, the calculation gives 0.00 μB per cell. As for the total DFT energy (no corrections): -44.68 eV/cell.

It has space group Amm2 (No. 38), with a = 4.516 Å, b = 4.078 Å, c = 11.195 Å, α = 90.00°, β = 90.00° and γ = 90.00°. The inequivalent atoms are Sr at (0.000, 0.000, 0.000), Pr at (0.500, 0.000, 0.278), Pt at (0.000, 0.000, 0.724) and Pt at (0.500, 0.000, 0.563).